Entry 1:
The following is a DFT calculation (GGA-PBE) of Rb3Tm2HfS6 after structural relaxation.

Computed properties:
Formation energy without anion corrections ... -20.24 eV/f.u.
ρ ... 5.20 g/cm3
Electronic total energy ... -133.60 eV per cell
Total moment ... 0.0 μB/f.u.

Cell: 6.8033 11.7836 8.0129 Å, 90.00 106.46 90.00°
Closest atoms and distances in Å follow each position.
Space group C2/m (No. 12)
Unique sites:
Rb 0.0000 0.0000 0.0000 [2 per cell]  6 S 3.26-3.35
Rb 0.0000 0.3304 0.0000 [4 per cell]  6 S 3.27-3.34
Tm 0.0000 0.1664 0.5000 [4 per cell]  6 S 2.73-2.74
Hf 0.0000 0.5000 0.5000 [2 per cell]  6 S 2.62
S 0.2230 0.3400 0.6890 [8 per cell]  1 Hf 2.62, 2 Tm 2.73
S 0.2436 0.0000 0.6901 [4 per cell]  1 Hf 2.62, 2 Tm 2.74


Entry 2:
The following is a DFT calculation (GGA-PBE) of CsMgSi2S after structural relaxation.

Computed properties:
Formation energy without anion corrections ... 8.80 eV/f.u.
ρ ... 2.29 g/cm3
Electronic total energy ... -8.62 eV per cell
Total moment ... 0.0 μB/f.u.

Cell: 5.5596 5.5596 5.7687 Å, 90.00 90.00 90.00°
Closest atoms and distances in Å follow each position.
Space group P4/mmm (No. 123)
Unique sites:
Cs 0.0000 0.0000 0.0000 [1 per cell]  4 Si 2.78, 2 S 2.88
Mg 0.5000 0.5000 0.5000 [1 per cell]  4 S 3.93, 8 Si 4.01
Si 0.0000 0.5000 0.0000 [2 per cell]  2 Cs 2.78
S 0.0000 0.0000 0.5000 [1 per cell]  2 Cs 2.88


Entry 3:
The following is a DFT calculation (GGA-PBE) of Sr2NdEu after structural relaxation.

Computed properties:
ρ ... 4.36 g/cm3
Electronic total energy ... -71.18 eV per cell
Total moment ... 7.4 μB/f.u.
Offset from the most stable computed form ... 29 meV/atom

Cell: 8.9585 8.9585 8.9585 Å, 90.00 90.00 90.00°
Closest atoms and distances in Å follow each position.
Space group Fm-3m (No. 225)
Unique sites:
Sr 0.2500 0.2500 0.2500 [8 per cell]  4 Nd 3.88, 4 Eu 3.88
Nd 0.0000 0.0000 0.0000 [4 per cell]  8 Sr 3.88
Eu 0.0000 0.0000 0.5000 [4 per cell]  8 Sr 3.88


Entry 4:
The following is a DFT calculation (GGA-PBE) of TiRh3 after structural relaxation.

Computed properties:
ρ ... 10.27 g/cm3
Electronic total energy ... -64.09 eV per cell
Total moment ... 0.0 μB/f.u.

Cell: 3.8799 3.8799 7.6599 Å, 90.00 90.00 90.00°
Closest atoms and distances in Å follow each position.
Space group I4/mmm (No. 139)
Unique sites:
Ti 0.0000 0.0000 0.0000 [2 per cell]  12 Rh 2.73-2.74
Rh 0.0000 0.0000 0.5000 [2 per cell]  8 Rh 2.73, 4 Ti 2.74
Rh 0.0000 0.5000 0.2500 [4 per cell]  8 Rh 2.73-2.74, 4 Ti 2.73


Entry 5:
The following is a DFT calculation (GGA-PBE) of DyTh2UP4 after structural relaxation.

Computed properties:
ρ ... 8.69 g/cm3
Electronic total energy ... -63.65 eV per cell
Total moment ... 2.2 μB/f.u.

Cell: 7.0159 4.0513 7.0413 Å, 90.00 109.34 90.00°
Closest atoms and distances in Å follow each position.
Space group P2/m (No. 10)
Unique sites:
Dy 0.0000 0.0000 0.0000 [1 per cell]  6 P 2.83-2.84
Th 0.5000 0.0000 0.5000 [1 per cell]  6 P 2.90-2.91
Th 0.5000 0.5000 0.0000 [1 per cell]  6 P 2.93
U 0.0000 0.5000 0.5000 [1 per cell]  6 P 2.80-2.81
P 0.2362 0.0000 0.7430 [2 per cell]  2 U 2.81, 1 Dy 2.83, 3 Th 2.91-2.93
P 0.2386 0.5000 0.2499 [2 per cell]  1 U 2.80, 2 Dy 2.84, 3 Th 2.90-2.93


Entry 6:
The following is a DFT calculation (GGA-PBE) of La2TbMo2N6 after structural relaxation.

Computed properties:
Formation energy without anion corrections ... -9.27 eV/f.u.
ρ ... 6.51 g/cm3
Electronic total energy ... -286.11 eV per cell
Total moment ... 0.0 μB/f.u.

Cell: 5.8342 5.8342 18.4868 Å, 90.00 90.00 120.00°
Closest atoms and distances in Å follow each position.
Space group R-3m (No. 166, hexagonal axes)
Unique sites:
La 0.0000 0.0000 0.2018 [6 per cell]  3 N 2.54
Tb 0.0000 0.0000 0.0000 [3 per cell]  6 N 2.42
Mo 0.0000 0.0000 0.3989 [6 per cell]  3 N 1.82
N 0.0096 0.5048 0.7630 [18 per cell]  1 Mo 1.82


Entry 7:
The following is a DFT calculation (GGA-PBE) of Ce4GaTc2 after structural relaxation.

Computed properties:
ρ ... 8.31 g/cm3
Electronic total energy ... -195.08 eV per cell
Total moment ... 0.0 μB/f.u.
Offset from the most stable computed form ... 0 meV/atom

Cell: 8.3648 14.7430 6.6645 Å, 90.00 126.50 90.00°
Closest atoms and distances in Å follow each position.
Space group Cc (No. 9)
Unique sites:
Ce 0.0000 0.0279 0.0000 [4 per cell]  2 Tc 2.73-2.83
Ce 0.0149 0.4238 0.3310 [4 per cell]  1 Tc 2.52
Ce 0.0960 0.2128 0.6580 [4 per cell]  2 Tc 2.54-2.59
Ce 0.2969 0.2260 0.3095 [4 per cell]  3 Tc 2.77-2.99
Ga 0.1875 0.3873 0.9431 [4 per cell]  1 Tc 2.71, 2 Ce 3.01-3.02
Tc 0.3199 0.0956 0.0064 [4 per cell]  2 Ce 2.52-2.59, 1 Ga 2.71
Tc 0.4164 0.3388 0.7082 [4 per cell]  3 Ce 2.54-2.77


Entry 8:
The following is a DFT calculation (GGA-PBE) of AcCuSeO6 after structural relaxation.

Computed properties:
Formation energy without anion corrections ... -12.56 eV/f.u.
ρ ... 6.41 g/cm3
Electronic total energy ... -54.00 eV per cell
Total moment ... 2.0 μB/f.u.

Cell: 5.1116 5.1116 5.3295 Å, 90.00 90.00 120.00°
Closest atoms and distances in Å follow each position.
Space group P312 (No. 149)
Unique sites:
Ac 0.0000 0.0000 0.0000 [1 per cell]  6 O 2.52
Cu 0.3333 0.6667 0.5000 [1 per cell]  6 O 2.01
Se 0.6667 0.3333 0.5000 [1 per cell]  6 O 1.83
O 0.3940 0.0272 0.6992 [6 per cell]  1 Se 1.83, 1 Cu 2.01


Entry 9:
The following is a DFT calculation (GGA-PBE) of VFe2Ir5 after structural relaxation.

Computed properties:
ρ ... 17.12 g/cm3
Electronic total energy ... -288.46 eV per cell
Total moment ... 3.8 μB/f.u.

Cell: 5.4380 8.5654 9.3598 Å, 90.00 90.00 90.00°
Closest atoms and distances in Å follow each position.
Space group Fmm2 (No. 42)
Unique sites:
V 0.0000 0.0000 0.0000 [4 per cell]  10 Ir 2.62-2.79, 2 Fe 2.63
Fe 0.0000 0.2493 0.6616 [8 per cell]  9 Ir 2.63-2.74, 1 V 2.63, 2 Fe 2.72
Ir 0.0000 0.0000 0.4983 [4 per cell]  2 Fe 2.63, 8 Ir 2.65-2.77, 2 V 2.72
Ir 0.2486 0.0000 0.2403 [8 per cell]  2 V 2.62-2.79, 4 Fe 2.64, 6 Ir 2.65-2.77
Ir 0.2500 0.2500 0.4162 [8 per cell]  6 Ir 2.65-2.72, 2 V 2.66, 4 Fe 2.67-2.74


Entry 10:
The following is a DFT calculation (GGA-PBE) of Pm4Te2AsI after structural relaxation.

Computed properties:
Formation energy without anion corrections ... -10.46 eV/f.u.
ρ ... 6.99 g/cm3
Electronic total energy ... -41.94 eV per cell
Total moment ... 0.0 μB/f.u.

Cell: 7.6339 4.3707 7.7957 Å, 90.00 108.82 90.00°
Closest atoms and distances in Å follow each position.
Space group P2/m (No. 10)
Unique sites:
Pm 0.2259 0.0000 0.2153 [2 per cell]  2 As 2.95, 1 Te 3.08, 1 I 3.22
Pm 0.2440 0.5000 0.7825 [2 per cell]  1 As 2.90, 2 Te 3.05, 2 I 3.23
Te 0.5000 0.0000 0.0000 [1 per cell]  6 Pm 3.05-3.08
Te 0.5000 0.5000 0.5000 [1 per cell]  6 Pm 3.33-3.38
As 0.0000 0.5000 0.0000 [1 per cell]  6 Pm 2.90-2.95
I 0.0000 0.0000 0.5000 [1 per cell]  6 Pm 3.22-3.23


Entry 11:
The following is a DFT calculation (GGA-PBE) of KNi2Ru after structural relaxation.

Computed properties:
ρ ... 5.77 g/cm3
Electronic total energy ... -39.05 eV per cell
Total moment ... 0.0 μB/f.u.
Offset from the most stable computed form ... 95 meV/atom

Cell: 8.2110 2.6494 6.8370 Å, 90.00 94.21 90.00°
Closest atoms and distances in Å follow each position.
Space group C2/m (No. 12)
Unique sites:
K 0.0000 0.0000 0.0000 [2 per cell]  2 K 2.65
Ni 0.2374 0.0000 0.6471 [4 per cell]  4 Ni 2.43-2.65, 3 Ru 2.45-2.51
Ru 0.0000 0.5000 0.5000 [2 per cell]  6 Ni 2.45-2.51, 2 Ru 2.65